# ThMnGeO6

A geometry-optimized ThMnGeO6 structure (GGA+U, Alexandria via LeMat-Bulk).

The structure in extended XYZ format:
```
18
Lattice="4.819 0.000 0.000 0.000 4.819 0.000 0.000 0.000 9.498" Properties=species:S:1:pos:R:3 pbc="T T T"
Th 0.000 0.000 0.000
Th 2.410 2.410 4.749
Mn 0.000 0.000 3.160
Mn 2.410 2.410 7.909
Ge 0.000 0.000 6.337
Ge 2.410 2.410 1.588
O 0.809 0.809 4.766
O 1.007 1.007 7.703
O 1.026 1.026 1.761
O 1.384 3.435 6.510
O 1.403 3.417 2.954
O 1.601 3.219 0.017
O 3.219 1.601 0.017
O 3.417 1.403 2.954
O 3.435 1.384 6.510
O 3.794 3.794 1.761
O 3.812 3.812 7.703
O 4.011 4.011 4.766
```

Values from the calculation:
**Crystal system**: tetragonal
**VASP energy**: -135.35 eV per cell
**SG**: P4_2nm (102)